Here is a relaxed structure of Na2Tl2In7 from Alexandria via LeMat-Bulk. Energies are from PBE-GGA.

Output
Formation enthalpy at 0 K ... -0.01 eV/atom
M_tot ... 0.000 μB per atom
E ... -2.4217 eV per atom
Relative energy among the computed polymorphs ... 0.0 meV/atom

Cell: 11.5223 10.1310 5.5706 Å, 90.00 103.92 90.00°
Space group C2/m (No. 12)
Inequivalent atoms, fractional coordinates:
Na (0.2422, 0.0000, 0.2021)
Tl (0.0000, 0.2081, 0.0000)
In (0.0000, 0.0000, 0.5000)
In (0.0556, 0.5000, 0.2791)
In (0.2175, 0.1789, 0.7094)